Here is crystalline VAu2I6 at its relaxed geometry from Alexandria via LeMat-Bulk. Energies are from PBE.

a = 10.8161 Å, b = 10.8161 Å, c = 6.7885 Å
α = 91.50°, β = 91.50°, γ = 93.34°
Element x y z (fractional)
V: 0.0798 0.9202 0.7500
V: 0.9202 0.0798 0.2500
Au: 0.3959 0.3970 0.7297
Au: 0.3970 0.3959 0.2297
Au: 0.6030 0.6041 0.7703
Au: 0.6041 0.6030 0.2703
I: 0.0400 0.1585 0.5918
I: 0.0647 0.6990 0.8845
I: 0.1585 0.0400 0.0918
I: 0.2588 0.5101 0.4773
I: 0.3010 0.9353 0.6155
I: 0.4899 0.7412 0.0227
I: 0.5101 0.2588 0.9773
I: 0.6990 0.0647 0.3845
I: 0.7412 0.4899 0.5227
I: 0.8415 0.9600 0.9082
I: 0.9353 0.3010 0.1155
I: 0.9600 0.8415 0.4082

Results
Density of states at the Fermi level ... 6.9 states/eV per cell
Space-group type ... C2/c (15)
Formation energy without anion corrections ... -215.4 meV per atom